No. 1
The following is a GGA-PBEsol calculation of a relaxed AlInAs2 crystal, from Alexandria via LeMat-Bulk.

Lattice parameters (Å, degrees): 5.0561 5.0561 3.0697 90.00 90.00 90.00
With the nearest neighbours (Å) after each atom.
Sites, in units of the cell vectors:
Al 0.0000 0.0000 0.0000  8 As 2.96, 2 Al 3.07
In 0.5000 0.5000 0.0000  8 As 2.96, 2 In 3.07
As 0.0000 0.5000 0.5000  4 In 2.96, 4 Al 2.96, 2 As 3.07
As 0.5000 0.0000 0.5000  4 In 2.96, 4 Al 2.96, 2 As 3.07

## Properties
Crystal system: tetragonal
Calculated volume in A^3/atom: 19.619
Space group: P4/mmm (123)
Excess energy over the best structure of this formula in the dataset in meV per atom: 480
ρ in g/cm³: 6.17

No. 2
The following is a GGA-PBEsol calculation of a relaxed ZrAlIn2As crystal, from Alexandria via LeMat-Bulk.

Lattice parameters (Å, degrees): 4.9580 4.9580 5.1863 90.00 90.00 90.00
With the nearest neighbours (Å) after each atom.
Sites, in units of the cell vectors:
Zr 0.0000 0.0000 0.0000  2 Al 2.59
Al 0.0000 0.0000 0.5000  4 In 2.48, 2 Zr 2.59
In 0.0000 0.5000 0.5000  2 Al 2.48
In 0.5000 0.0000 0.5000  2 Al 2.48
As 0.5000 0.5000 0.0000  4 Zr 3.51, 8 In 3.59

## Properties
Crystal system: tetragonal
Calculated volume in A^3/atom: 25.498
Space group: P4/mmm (123)
Electronic total energy in hartree per atom: -0.1553
ρ in g/cm³: 5.51

No. 3
The following is a GGA-PBEsol calculation of a relaxed Al2AsIr crystal, from Alexandria via LeMat-Bulk.

Lattice parameters (Å, degrees): 8.5317 8.5317 8.5317 19.93 19.93 19.93
With the nearest neighbours (Å) after each atom.
Sites, in units of the cell vectors:
Al 0.0000 0.0000 0.0000  3 Ir 2.57, 3 Al 2.80
Al 0.2447 0.2447 0.2447  9 Al 2.80-2.95, 3 As 2.83
As 0.4880 0.4880 0.4880  3 Ir 2.60, 3 Al 2.83
Ir 0.7431 0.7431 0.7431  3 Al 2.57, 3 As 2.60

## Properties
Crystal system: trigonal
Calculated volume in A^3/atom: 15.786
Space group: R3m (160)
Electronic total energy in hartree per atom: -0.2157
ρ in g/cm³: 8.44

No. 4
The following is a GGA-PBEsol calculation of a relaxed Al2AsIr crystal, from Alexandria via LeMat-Bulk.

Lattice parameters (Å, degrees): 4.6785 4.6785 4.6785 129.32 129.32 74.50
With the nearest neighbours (Å) after each atom.
Sites, in units of the cell vectors:
Al 0.2500 0.7500 0.5000  4 Ir 2.73, 4 As 2.73, 4 Al 2.83
Al 0.7500 0.2500 0.5000  4 Ir 2.73, 4 As 2.73, 4 Al 2.83
As 0.0000 0.0000 0.0000  8 Al 2.73, 4 Ir 2.83
Ir 0.5000 0.5000 0.0000  8 Al 2.73, 4 As 2.83

## Properties
Crystal system: tetragonal
Calculated volume in A^3/atom: 14.932
Space group: I4/mmm (139)
Electronic total energy in hartree per atom: -0.2209
ρ in g/cm³: 8.93